w.
! TaGeSe2Br (PBE, relaxed); values from VASP
! M_tot, μB per cell: 0.866
! V, Å³/cell: 130.6
&SYSTEM
  ibrav = 0, nat = 5, ntyp = 4
/
ATOMIC_SPECIES
Ge 72.64 Ge.upf
Se 78.96 Se.upf
Ta 180.95 Ta.upf
Br 79.90 Br.upf
ATOMIC_POSITIONS angstrom
Ge -0.076 -4.009 1.796
Se 1.629 -1.864 -0.526
Se -1.924 -1.635 -0.166
Ta 0.000 0.000 0.000
Br 0.219 -0.510 2.488
CELL_PARAMETERS angstrom
-3.848 -3.270 -0.332
3.258 -3.727 -1.051
0.438 -1.021 4.976

=====

x.
! TaGeSe2Br (PBE, relaxed); values from VASP
! M_tot, μB per cell: 0.005
! V, Å³/cell: 124.3
&SYSTEM
  ibrav = 0, nat = 5, ntyp = 4
/
ATOMIC_SPECIES
Br 79.90 Br.upf
Ge 72.64 Ge.upf
Se 78.96 Se.upf
Ta 180.95 Ta.upf
ATOMIC_POSITIONS angstrom
Br 0.406 -0.508 4.275
Ge 0.000 0.000 0.000
Se 0.728 -2.076 1.098
Se -1.843 0.207 1.613
Ta 1.522 1.361 1.564
CELL_PARAMETERS angstrom
-3.687 0.414 3.226
1.455 -4.151 2.196
3.044 2.721 3.128

=====

Which is most stable, and by how much? w, by 0.827 eV/atom.

=====

w.
! TaGeSeBr2 (PBE, relaxed); values from VASP
! M_tot, μB per cell: 1.638
! V, Å³/cell: 134.5
&SYSTEM
  ibrav = 0, nat = 5, ntyp = 4
/
ATOMIC_SPECIES
Se 78.96 Se.upf
Br 79.90 Br.upf
Ge 72.64 Ge.upf
Ta 180.95 Ta.upf
ATOMIC_POSITIONS angstrom
Se 0.000 0.000 2.534
Br 0.000 2.576 0.000
Ge 2.576 2.576 2.534
Br 2.576 0.000 0.000
Ta 0.000 0.000 0.000
CELL_PARAMETERS angstrom
5.151 0.000 0.000
0.000 5.151 0.000
0.000 0.000 5.069

=====

x.
! TaGeSeBr2 (PBE, relaxed); values from VASP
! M_tot, μB per cell: 3.272
! V, Å³/cell: 137.5
&SYSTEM
  ibrav = 0, nat = 5, ntyp = 4
/
ATOMIC_SPECIES
Ge 72.64 Ge.upf
Br 79.90 Br.upf
Se 78.96 Se.upf
Ta 180.95 Ta.upf
ATOMIC_POSITIONS angstrom
Ge 0.000 0.000 0.000
Br 2.559 0.000 0.000
Se 0.000 0.000 2.624
Br 0.000 2.559 0.000
Ta 2.559 2.559 2.624
CELL_PARAMETERS angstrom
5.118 0.000 0.000
0.000 5.118 0.000
0.000 0.000 5.248

=====

Which is most stable, and by how much? w, by 0.695 eV/atom.